{
  "formula": "ReP2O2",
  "functional": "PBE",
  "state": "optimized geometry",
  "cell": [[-0.868, 4.514, -0.658], [-0.961, 0.473, 4.518], [3.559, 0.783, 0.675]],
  "species": ["Re", "O", "O", "P", "P"],
  "fractional_positions": [[0.000, 0.000, 0.000], [0.500, 0.500, 0.500], [0.000, 0.000, 0.500], [0.000, 0.500, 0.000], [0.500, 0.000, 0.000]],
  "magmom_total_mub_per_cell": 0.0,
  "raw_formation_energy_ev_per_atom": 0.269,
  "e_above_lowest_polymorph_mev_per_atom": 695,
  "sg": "P4/mmm (123)",
  "dos_at_fermi_per_ev_cell": 3.05
}


{
  "formula": "ReP2O2",
  "functional": "PBE",
  "state": "optimized geometry",
  "cell": [[-0.547, -1.027, 3.130], [2.050, -2.590, -0.492], [5.268, 3.760, 2.154]],
  "species": ["Re", "O", "O", "P", "P"],
  "fractional_positions": [[0.500, 0.500, 0.500], [0.000, 0.500, 0.000], [0.500, 0.000, 0.000], [0.000, 0.000, 0.000], [0.000, 0.000, 0.500]],
  "magmom_total_mub_per_cell": 1.4,
  "raw_formation_energy_ev_per_atom": 0.072,
  "e_above_lowest_polymorph_mev_per_atom": 498,
  "sg": "P4/mmm (123)",
  "dos_at_fermi_per_ev_cell": 2.96
}


{
  "formula": "Re2PO",
  "functional": "PBE",
  "state": "optimized geometry",
  "cell": [[-2.395, -1.906, -2.686], [-3.345, 1.844, -1.414], [-0.142, 1.275, -3.865]],
  "species": ["Re", "Re", "O", "P"],
  "fractional_positions": [[0.250, 0.250, 0.250], [0.750, 0.750, 0.750], [0.000, 0.000, 0.000], [0.500, 0.500, 0.500]],
  "magmom_total_mub_per_cell": 0.0,
  "raw_formation_energy_ev_per_atom": 0.096,
  "e_above_lowest_polymorph_mev_per_atom": 0,
  "sg": "Fm-3m (225)",
  "dos_at_fermi_per_ev_cell": 3.20
}


{
  "formula": "ReP2O2",
  "functional": "PBE",
  "state": "optimized geometry",
  "cell": [[4.345, 0.000, 0.000], [0.000, 4.345, 0.000], [2.173, 2.173, 3.250]],
  "species": ["Re", "O", "O", "P", "P"],
  "fractional_positions": [[0.000, 0.000, 0.000], [0.312, 0.312, 0.377], [0.688, 0.688, 0.623], [0.750, 0.250, 0.500], [0.250, 0.750, 0.500]],
  "magmom_total_mub_per_cell": 0.0,
  "raw_formation_energy_ev_per_atom": 0.340,
  "e_above_lowest_polymorph_mev_per_atom": 766,
  "sg": "I4/mmm (139)",
  "dos_at_fermi_per_ev_cell": 4.82
}